[1]
# Na8SnPb3 (PBE-GGA, optimized geometry)
data_Na8SnPb3
_space_group_name_H-M_alt 'C 1 m 1'
_space_group_IT_number 8
_cell_length_a 11.179
_cell_length_b 11.302
_cell_length_c 6.143
_cell_angle_alpha 90.00
_cell_angle_beta 117.07
_cell_angle_gamma 90.00
loop_
_space_group_symop_operation_xyz
'x,y,z'
'x,-y,z'
'x+1/2,y+1/2,z'
'x+1/2,-y+1/2,z'
loop_
_atom_site_label
_atom_site_type_symbol
_atom_site_fract_x
_atom_site_fract_y
_atom_site_fract_z
_atom_site_occupancy
Na1 Na 0.000 0.000 0.000 1
Na2 Na 0.001 0.500 0.986 1
Na3 Na 0.090 0.251 0.339 1
Na4 Na 0.167 0.000 0.670 1
Na5 Na 0.172 0.500 0.668 1
Na6 Na 0.259 0.252 0.018 1
Sn1 Sn 0.337 0.500 0.342 1
Pb1 Pb 0.338 0.000 0.340 1
Pb2 Pb 0.420 0.256 0.663 1
# - Crystal system: monoclinic
# - DFT total energy: -2.29 eV/atom

---

[2]
# Li2HoCu9 (PBE-GGA, optimized geometry)
data_Li2HoCu9
_space_group_name_H-M_alt 'P 4/m b m'
_space_group_IT_number 127
_space_group_name_Hall '-P 4 2ab'
_cell_length_a 8.289
_cell_length_b 8.289
_cell_length_c 4.903
_cell_angle_alpha 90.00
_cell_angle_beta 90.00
_cell_angle_gamma 90.00
loop_
_atom_site_label
_atom_site_type_symbol
_atom_site_fract_x
_atom_site_fract_y
_atom_site_fract_z
_atom_site_occupancy
Li1 Li 0.114 0.386 0.000 1
Ho1 Ho 0.000 0.000 0.000 1
Cu1 Cu 0.000 0.500 0.500 1
Cu2 Cu 0.060 0.208 0.500 1
Cu3 Cu 0.181 0.681 0.242 1
# - Crystal system: tetragonal
# - ΔE to the lowest computed polymorph: 7.3 meV per atom